Ce6GaHg | GGA-PBE | optimized geometry

The value obtained for the total energy is -40.28 eV for the cell shown. The calculation puts the density of states at the Fermi level at 20.89 states/eV/f.u. Its energy above the most stable polymorph in this dataset is 0.000 eV/atom. The magnetic moment comes out at 0.00 μB/f.u.

It has space group P4/mmm (No. 123), with a = 5.512 Å, b = 5.512 Å, c = 6.532 Å, α = 90.00°, β = 90.00° and γ = 90.00°. The inequivalent atoms are Ce at (0.000, 0.000, 0.000), Ce at (0.000, 0.000, 0.500), Ce at (0.000, 0.500, 0.238), Ga at (0.500, 0.500, 0.000) and Hg at (0.500, 0.500, 0.500).